# 1
First-principles (GGA-PBE) data for an optimized crystal structure of CaCo2RuS, as listed in Alexandria.

Output
V: 19.705 Å³ per atom
Formation energy without anion corrections: 174.7 kJ per mole of atoms

Unit cell a=4.501 b=4.501 c=4.864 alpha=90.00 beta=90.00 gamma=90.00
Space group P4/mmm (No. 123)
Asymmetric unit:
Ca 0.000 0.000 0.000
Co 0.000 0.500 0.000
Ru 0.500 0.500 0.500
S 0.000 0.000 0.500



# 2
First-principles (GGA-PBE) data for an optimized crystal structure of CaCoSi2Ru, as listed in Alexandria.

Output
V: 16.172 Å³ per atom
Formation energy without anion corrections: -64.7 kJ per mole of atoms

Unit cell a=4.048 b=4.048 c=9.870 alpha=90.00 beta=90.00 gamma=90.00
Space group I-4m2 (No. 119)
Asymmetric unit:
Ca 0.000 0.000 0.000
Co 0.000 0.500 0.750
Si 0.000 0.000 0.368
Ru 0.000 0.500 0.250



# 3
First-principles (GGA-PBE) data for an optimized crystal structure of Ca3CoS, as listed in Alexandria.

Output
V: 30.188 Å³ per atom
Offset from the most stable computed form: 0 kJ/mol of formula units
Formation energy without anion corrections: -28.1 kJ per mole of atoms

Unit cell a=5.324 b=5.324 c=5.324 alpha=90.00 beta=90.00 gamma=90.00
Space group Pm-3m (No. 221)
Asymmetric unit:
Ca 0.000 0.000 0.500
Co 0.500 0.500 0.500
S 0.000 0.000 0.000



# 4
First-principles (GGA-PBE) data for an optimized crystal structure of Ca2CoS, as listed in Alexandria.

Output
V: 25.479 Å³ per atom
Formation energy without anion corrections: -30.7 kJ per mole of atoms

Unit cell a=7.398 b=7.398 c=7.449 alpha=90.00 beta=90.00 gamma=90.00
Space group I-42d (No. 122)
Asymmetric unit:
Ca 0.237 0.250 0.125
Co 0.000 0.000 0.500
S 0.000 0.000 0.000



# 5
First-principles (GGA-PBE) data for an optimized crystal structure of CaCoS3, as listed in Alexandria.

Output
V: 18.626 Å³ per atom
Formation energy without anion corrections: -54.0 kJ per mole of atoms

Unit cell a=4.533 b=4.533 c=4.533 alpha=90.00 beta=90.00 gamma=90.00
Space group Pm-3m (No. 221)
Asymmetric unit:
Ca 0.000 0.000 0.000
Co 0.500 0.500 0.500
S 0.000 0.500 0.500



# 6
First-principles (GGA-PBE) data for an optimized crystal structure of CaCo4S8, as listed in Alexandria.

Output
V: 19.128 Å³ per atom
Offset from the most stable computed form: 0 kJ/mol of formula units
Formation energy without anion corrections: -52.8 kJ per mole of atoms

Unit cell a=6.6788 b=6.6788 c=19.3114 alpha=90.00 beta=90.00 gamma=120.00
Space group R-3m (No. 166, hexagonal axes)
Asymmetric unit:
Ca 0.0000 0.0000 0.0000
Co 0.0000 0.0000 0.5000
Co 0.0000 0.5000 0.5000
S 0.0000 0.0000 0.2280
S 0.0016 0.5008 0.2275



# 7
First-principles (GGA-PBE) data for an optimized crystal structure of Ca3Co5S12, as listed in Alexandria.

Output
V: 18.727 Å³ per atom
Formation energy without anion corrections: -62.7 kJ per mole of atoms

Unit cell a=14.417 b=14.417 c=14.417 alpha=90.00 beta=90.00 gamma=90.00
Space group Ia-3d (No. 230)
Asymmetric unit:
Ca 0.000 0.250 0.125
Co 0.000 0.000 0.000
Co 0.000 0.250 0.375
S 0.036 0.054 0.644



# 8
First-principles (GGA-PBE) data for an optimized crystal structure of CaCo2S, as listed in Alexandria.

Output
V: 18.682 Å³ per atom
Formation energy without anion corrections: -29.7 kJ per mole of atoms

Unit cell a=4.536 b=4.536 c=14.530 alpha=90.00 beta=90.00 gamma=90.00
Space group I4_1/amd (No. 141, origin choice 2)
Asymmetric unit:
Ca 0.000 0.250 0.375
Co 0.000 0.000 0.000
S 0.000 0.250 0.875



# 9
First-principles (GGA-PBE) data for an optimized crystal structure of Ca2ScCoS, as listed in Alexandria.

Output
V: 25.856 Å³ per atom
Formation energy without anion corrections: 1.0 kJ per mole of atoms

Unit cell a=5.630 b=5.630 c=4.078 alpha=90.00 beta=90.00 gamma=90.00
Space group P4/mmm (No. 123)
Asymmetric unit:
Ca 0.000 0.500 0.000
Sc 0.000 0.000 0.500
Co 0.500 0.500 0.000
S 0.500 0.500 0.500



# 10
First-principles (GGA-PBE) data for an optimized crystal structure of Ca2CoTeS, as listed in Alexandria.

Output
V: 24.863 Å³ per atom
Formation energy without anion corrections: -95.4 kJ per mole of atoms

Unit cell a=5.483 b=5.483 c=4.136 alpha=90.00 beta=90.00 gamma=90.00
Space group P4/mmm (No. 123)
Asymmetric unit:
Ca 0.000 0.500 0.000
Co 0.000 0.000 0.500
Te 0.500 0.500 0.500
S 0.000 0.000 0.000



# 11
First-principles (GGA-PBE) data for an optimized crystal structure of CaUCoS4, as listed in Alexandria.

Output
V: 19.469 Å³ per atom
Formation energy without anion corrections: -119.1 kJ per mole of atoms

Unit cell a=6.420 b=5.616 c=7.850 alpha=90.00 beta=105.63 gamma=90.00
Space group P2_1/m (No. 11)
Asymmetric unit:
Ca 0.234 0.250 0.439
U 0.246 0.250 0.942
Co 0.261 0.750 0.165
S 0.065 0.750 0.361
S 0.071 0.750 0.895
S 0.483 0.510 0.759



# 12
First-principles (GGA-PBE) data for an optimized crystal structure of CaCoSb3, as listed in Alexandria.

Output
V: 26.287 Å³ per atom
Formation energy without anion corrections: -3.9 kJ per mole of atoms

Unit cell a=5.084 b=5.084 c=5.084 alpha=90.00 beta=90.00 gamma=90.00
Space group Pm-3m (No. 221)
Asymmetric unit:
Ca 0.000 0.000 0.000
Co 0.500 0.500 0.500
Sb 0.000 0.500 0.500



# 13
First-principles (GGA-PBE) data for an optimized crystal structure of CaCo2Sb, as listed in Alexandria.

Output
V: 18.726 Å³ per atom
Formation energy without anion corrections: 8.8 kJ per mole of atoms

Unit cell a=3.240 b=3.240 c=7.136 alpha=90.00 beta=90.00 gamma=90.00
Space group P4mm (No. 99)
Asymmetric unit:
Ca 0.000 0.000 0.000
Co 0.000 0.000 0.421
Co 0.500 0.500 0.284
Sb 0.500 0.500 0.646



# 14
First-principles (GGA-PBE) data for an optimized crystal structure of Ca2CoSb, as listed in Alexandria.

Output
V: 21.109 Å³ per atom
Formation energy without anion corrections: -8.8 kJ per mole of atoms

Unit cell a=6.964 b=6.964 c=6.964 alpha=90.00 beta=90.00 gamma=90.00
Space group F-43m (No. 216)
Asymmetric unit:
Ca 0.000 0.000 0.000
Ca 0.250 0.250 0.250
Co 0.000 0.000 0.500
Sb 0.250 0.250 0.750



# 15
First-principles (GGA-PBE) data for an optimized crystal structure of CaCoSb2, as listed in Alexandria.

Output
V: 23.381 Å³ per atom
Formation energy without anion corrections: -8.7 kJ per mole of atoms

Unit cell a=3.608 b=3.608 c=7.183 alpha=90.00 beta=90.00 gamma=90.00
Space group P4mm (No. 99)
Asymmetric unit:
Ca 0.000 0.000 0.000
Co 0.500 0.500 0.358
Sb 0.000 0.000 0.429
Sb 0.500 0.500 0.722



# 16
First-principles (GGA-PBE) data for an optimized crystal structure of Ca2CoSb, as listed in Alexandria.

Output
V: 27.393 Å³ per atom
Formation energy without anion corrections: 3.9 kJ per mole of atoms

Unit cell a=3.581 b=4.804 c=6.368 alpha=90.00 beta=90.00 gamma=90.00
Space group Pmm2 (No. 25)
Asymmetric unit:
Ca 0.000 0.000 0.000
Ca 0.500 0.500 0.358
Co 0.000 0.000 0.469
Sb 0.500 0.500 0.840



# 17
First-principles (GGA-PBE) data for an optimized crystal structure of CaCo2Sb2, as listed in Alexandria.

Output
V: 18.578 Å³ per atom
Formation energy without anion corrections: -7.4 kJ per mole of atoms

Unit cell a=7.548 b=7.548 c=3.261 alpha=90.00 beta=90.00 gamma=90.00
Space group P4/mbm (No. 127)
Asymmetric unit:
Ca 0.000 0.000 0.000
Co 0.122 0.378 0.000
Sb 0.158 0.658 0.500



# 18
First-principles (GGA-PBE) data for an optimized crystal structure of Ca2CoSb, as listed in Alexandria.

Output
V: 25.634 Å³ per atom
Formation energy without anion corrections: 3.2 kJ per mole of atoms

Unit cell a=3.6274 b=3.6274 c=26.9943 alpha=90.00 beta=90.00 gamma=120.00
Space group R-3m (No. 166, hexagonal axes)
Asymmetric unit:
Ca 0.0000 0.0000 0.2366
Co 0.0000 0.0000 0.5000
Sb 0.0000 0.0000 0.0000



# 19
First-principles (GGA-PBE) data for an optimized crystal structure of CaCo2Sb, as listed in Alexandria.

Output
V: 17.868 Å³ per atom
Formation energy without anion corrections: 14.7 kJ per mole of atoms

Unit cell a=3.254 b=4.598 c=9.553 alpha=90.00 beta=90.00 gamma=90.00
Space group Imm2 (No. 44)
Asymmetric unit:
Ca 0.000 0.000 0.000
Co 0.000 0.000 0.487
Co 0.000 0.500 0.793
Sb 0.000 0.500 0.217



# 20
First-principles (GGA-PBE) data for an optimized crystal structure of CaCo2Sb, as listed in Alexandria.

Output
V: 17.502 Å³ per atom
Formation energy without anion corrections: 15.4 kJ per mole of atoms

Unit cell a=3.262 b=3.292 c=6.520 alpha=90.00 beta=90.00 gamma=90.00
Space group Pmmm (No. 47)
Asymmetric unit:
Ca 0.000 0.000 0.000
Co 0.500 0.500 0.299
Sb 0.000 0.000 0.500



# 21
First-principles (GGA-PBE) data for an optimized crystal structure of CaCo2Sb, as listed in Alexandria.

Output
V: 18.674 Å³ per atom
Formation energy without anion corrections: 0.0 kJ per mole of atoms

Unit cell a=4.074 b=4.045 c=4.969 alpha=90.00 beta=114.18 gamma=90.00
Space group Pm (No. 6)
Asymmetric unit:
Ca 0.000 0.000 0.000
Co 0.292 0.000 0.579
Co 0.404 0.500 0.809
Sb 0.709 0.500 0.418



# 22
First-principles (GGA-PBE) data for an optimized crystal structure of CaCo2Sb, as listed in Alexandria.

Output
V: 20.140 Å³ per atom
Formation energy without anion corrections: 40.4 kJ per mole of atoms

Unit cell a=7.288 b=7.288 c=6.067 alpha=90.00 beta=90.00 gamma=90.00
Space group I-42d (No. 122)
Asymmetric unit:
Ca 0.000 0.000 0.000
Co 0.196 0.250 0.625
Sb 0.000 0.000 0.500



# 23
First-principles (GGA-PBE) data for an optimized crystal structure of CaCoSb2, as listed in Alexandria.

Output
V: 22.536 Å³ per atom
Formation energy without anion corrections: -12.1 kJ per mole of atoms

Unit cell a=4.282 b=5.477 c=7.688 alpha=90.00 beta=90.00 gamma=90.00
Space group Cmmm (No. 65)
Asymmetric unit:
Ca 0.000 0.000 0.000
Co 0.000 0.000 0.500
Sb 0.000 0.500 0.301